1.
# YTlCdHg PBE relaxed
# Distance to the lowest polymorph of the same formula ... 0.027 eV/atom
# Density of states at the Fermi level ... 0.49 states/eV/f.u.
# Energy of formation from the pure elements ... -0.274 eV/atom
# Mass density ... 10.1 g cm⁻³
# Size of the total moment ... 0.0000 μB/atom
# Raw total energy ... -2.79 eV per atom
data_YTlCdHg
_chemical_formula_sum 'Y4 Tl4 Cd4 Hg4'
_cell_length_a 7.3499
_cell_length_b 7.3499
_cell_length_c 7.3499
_cell_angle_alpha 90.00
_cell_angle_beta 90.00
_cell_angle_gamma 90.00
_space_group_name_H-M_alt 'F -4 3 m'
_space_group_IT_number 216
_space_group_name_Hall 'F -4 2 3'
loop_
_atom_site_label
_atom_site_type_symbol
_atom_site_fract_x
_atom_site_fract_y
_atom_site_fract_z
Y1 Y 0.0000 0.0000 0.0000
Tl1 Tl 0.2500 0.2500 0.7500
Cd1 Cd 0.0000 0.0000 0.5000
Hg1 Hg 0.2500 0.2500 0.2500

---

2.
# YTlCdHg PBE relaxed
# Distance to the lowest polymorph of the same formula ... 0.000 eV/atom
# Density of states at the Fermi level ... 2.09 states/eV/f.u.
# Energy of formation from the pure elements ... -0.300 eV/atom
# Mass density ... 10.1 g cm⁻³
# Size of the total moment ... 0.0000 μB/atom
# Raw total energy ... -2.81 eV per atom
data_YTlCdHg
_chemical_formula_sum 'Y1 Tl1 Cd1 Hg1'
_cell_length_a 4.2821
_cell_length_b 4.8132
_cell_length_c 4.8586
_cell_angle_alpha 90.00
_cell_angle_beta 90.00
_cell_angle_gamma 90.00
_space_group_name_H-M_alt 'P m m m'
_space_group_IT_number 47
_space_group_name_Hall '-P 2 2'
loop_
_atom_site_label
_atom_site_type_symbol
_atom_site_fract_x
_atom_site_fract_y
_atom_site_fract_z
Y1 Y 0.0000 0.0000 0.0000
Tl1 Tl 0.5000 0.5000 0.0000
Cd1 Cd 0.0000 0.5000 0.5000
Hg1 Hg 0.5000 0.0000 0.5000

---

3.
# Tl2ZnCdHg PBE relaxed
# Density of states at the Fermi level ... 3.19 states/eV/f.u.
# Energy of formation from the pure elements ... 0.179 eV/atom
# Mass density ... 8.6 g cm⁻³
# Size of the total moment ... 0.0000 μB/atom
# Raw total energy ... -1.27 eV per atom
data_Tl2ZnCdHg
_chemical_formula_sum 'Tl2 Zn1 Cd1 Hg1'
_cell_length_a 5.4319
_cell_length_b 5.4319
_cell_length_c 5.1658
_cell_angle_alpha 90.00
_cell_angle_beta 90.00
_cell_angle_gamma 90.00
_space_group_name_H-M_alt 'P 4/m m m'
_space_group_IT_number 123
_space_group_name_Hall '-P 4 2'
loop_
_atom_site_label
_atom_site_type_symbol
_atom_site_fract_x
_atom_site_fract_y
_atom_site_fract_z
Tl1 Tl 0.0000 0.5000 0.0000
Zn1 Zn 0.0000 0.0000 0.0000
Cd1 Cd 0.0000 0.0000 0.5000
Hg1 Hg 0.5000 0.5000 0.5000